# K4PrSm3Se8

An optimized crystal structure of K4PrSm3Se8 (PBE, the Alexandria database).

Summary:
raw total energy: -4.9568 eV/atom
formation energy from raw total energies: -169 kJ per mole of atoms

Cell: 9.1771 9.1771 9.1771 Å, 56.16 56.16 56.16°
Sites, in units of the cell vectors:
K 0.0000 0.0000 0.0000
K 0.0000 0.5000 0.5000
K 0.5000 0.0000 0.5000
K 0.5000 0.5000 0.0000
Pr 0.5000 0.5000 0.5000
Sm 0.0000 0.0000 0.5000
Sm 0.0000 0.5000 0.0000
Sm 0.5000 0.0000 0.0000
Se 0.2326 0.7388 0.7388
Se 0.2361 0.2361 0.2361
Se 0.2612 0.2612 0.7674
Se 0.2612 0.7674 0.2612
Se 0.7388 0.2326 0.7388
Se 0.7388 0.7388 0.2326
Se 0.7639 0.7639 0.7639
Se 0.7674 0.2612 0.2612